Entry 1:
Entry from Alexandria via LeMat-Bulk: crystalline BaTlSnPbBr at its relaxed geometry (PBE-GGA).

Computed properties:
Formation energy from raw total energies   -0.6963 eV per atom
DOS(E_F)   0.06 states/eV/atom
Crystal system   monoclinic

Cell: 8.220 4.763 10.500 Å, 90.00 90.75 90.00°
Space group Cm (No. 8)
Asymmetric unit:
Ba: 0.000 0.000 0.000
Tl: 0.176 0.500 0.534
Sn: 0.338 0.000 0.342
Pb: 0.170 0.500 0.211
Br: 0.331 0.000 0.832

Entry 2:
Entry from Alexandria via LeMat-Bulk: crystalline BaTlSnPbBr at its relaxed geometry (PBE-GGA).

Computed properties:
Formation energy from raw total energies   -0.6696 eV per atom
DOS(E_F)   0.17 states/eV/atom
Crystal system   monoclinic

Cell: 8.307 4.842 10.350 Å, 90.00 105.70 90.00°
Space group Cm (No. 8)
Asymmetric unit:
Ba: 0.000 0.000 0.000
Tl: 0.348 0.500 0.548
Sn: 0.415 0.000 0.238
Pb: 0.126 0.000 0.375
Br: 0.107 0.500 0.827

Entry 3:
Entry from Alexandria via LeMat-Bulk: crystalline BaTlSnPbBr at its relaxed geometry (PBE-GGA).

Computed properties:
Formation energy from raw total energies   -0.6932 eV per atom
DOS(E_F)   0.13 states/eV/atom
Crystal system   trigonal

Cell: 4.7359 4.7359 30.9341 Å, 90.00 90.00 120.00°
Space group R3m (No. 160, hexagonal axes)
Asymmetric unit:
Ba: 0.0000 0.0000 0.0000
Tl: 0.0000 0.0000 0.4853
Sn: 0.0000 0.0000 0.5954
Pb: 0.0000 0.0000 0.2183
Br: 0.0000 0.0000 0.7289

Entry 4:
Entry from Alexandria via LeMat-Bulk: crystalline BaTlSnPbBr at its relaxed geometry (PBE-GGA).

Computed properties:
Formation energy from raw total energies   -0.6679 eV per atom
DOS(E_F)   0.33 states/eV/atom
Crystal system   orthorhombic

Cell: 4.402 4.493 9.411 Å, 90.00 90.00 90.00°
Space group Pmm2 (No. 25)
Asymmetric unit:
Ba: 0.000 0.000 0.000
Tl: 0.000 0.000 0.595
Sn: 0.500 0.000 0.339
Pb: 0.000 0.500 0.313
Br: 0.500 0.500 0.885

Entry 5:
Entry from Alexandria via LeMat-Bulk: crystalline BaTlSnPbBr at its relaxed geometry (PBE-GGA).

Computed properties:
Formation energy from raw total energies   -0.6752 eV per atom
DOS(E_F)   0.11 states/eV/atom
Crystal system   monoclinic

Cell: 8.372 4.923 10.510 Å, 90.00 90.64 90.00°
Space group Cm (No. 8)
Asymmetric unit:
Ba: 0.000 0.000 0.000
Tl: 0.332 0.000 0.502
Sn: 0.496 0.500 0.645
Pb: 0.162 0.500 0.772
Br: 0.338 0.000 0.153

Entry 6:
Entry from Alexandria via LeMat-Bulk: crystalline BaTlSnPbBr at its relaxed geometry (PBE-GGA).

Computed properties:
Formation energy from raw total energies   -0.6199 eV per atom
DOS(E_F)   0.17 states/eV/atom
Crystal system   trigonal

Cell: 5.4719 5.4719 7.5454 Å, 90.00 90.00 120.00°
Space group P3m1 (No. 156)
Asymmetric unit:
Ba: 0.0000 0.0000 0.0000
Tl: 0.3333 0.6667 0.3013
Sn: 0.0000 0.0000 0.4962
Pb: 0.6667 0.3333 0.5085
Br: 0.6667 0.3333 0.9555

Entry 7:
Entry from Alexandria via LeMat-Bulk: crystalline BaSrPbBr6 at its relaxed geometry (PBE-GGA).

Computed properties:
Formation energy from raw total energies   -1.7275 eV per atom
DOS(E_F)   0.00 states/eV/atom
Crystal system   trigonal

Cell: 7.8238 7.8238 14.0431 Å, 90.00 90.00 120.00°
Space group P-31c (No. 163)
Asymmetric unit:
Ba: 0.0000 0.0000 0.0000
Sr: 0.3333 0.6667 0.2500
Pb: 0.3333 0.6667 0.7500
Br: 0.0010 0.3498 0.6288

Entry 8:
Entry from Alexandria via LeMat-Bulk: crystalline BaSrPb2Br8 at its relaxed geometry (PBE-GGA).

Computed properties:
Formation energy from raw total energies   -1.5131 eV per atom
DOS(E_F)   0.00 states/eV/atom
Crystal system   monoclinic

Cell: 7.037 9.488 7.294 Å, 90.00 90.56 90.00°
Space group P2/m (No. 10)
Asymmetric unit:
Ba: 0.000 0.000 0.000
Sr: 0.000 0.500 0.000
Pb: 0.500 0.255 0.500
Br: 0.244 0.262 0.159
Br: 0.265 0.500 0.659
Br: 0.272 0.000 0.643

Entry 9:
Entry from Alexandria via LeMat-Bulk: crystalline BaTePbBr2 at its relaxed geometry (PBE-GGA).

Computed properties:
Formation energy from raw total energies   -0.4981 eV per atom
DOS(E_F)   0.49 states/eV/atom
Crystal system   tetragonal

Cell: 5.837 5.837 10.163 Å, 90.00 90.00 90.00°
Space group P4/mmm (No. 123)
Asymmetric unit:
Ba: 0.000 0.000 0.000
Te: 0.500 0.500 0.500
Pb: 0.000 0.000 0.500
Br: 0.000 0.500 0.000

Entry 10:
Entry from Alexandria via LeMat-Bulk: crystalline BaTePbBr2 at its relaxed geometry (PBE-GGA).

Computed properties:
Formation energy from raw total energies   -1.2692 eV per atom
Crystal system   orthorhombic

Cell: 4.681 13.059 12.125 Å, 90.00 90.00 90.00°
Space group Cmcm (No. 63)
Asymmetric unit:
Ba: 0.000 0.239 0.250
Te: 0.000 0.066 0.750
Pb: 0.000 0.000 0.000
Br: 0.000 0.348 0.562

Entry 11:
Entry from Alexandria via LeMat-Bulk: crystalline Ba2PbWBr at its relaxed geometry (PBE-GGA).

Computed properties:
Formation energy from raw total energies   0.7342 eV per atom
DOS(E_F)   0.62 states/eV/atom
Crystal system   tetragonal

Cell: 6.158 6.158 5.675 Å, 90.00 90.00 90.00°
Space group P4/mmm (No. 123)
Asymmetric unit:
Ba: 0.000 0.500 0.000
Pb: 0.000 0.000 0.500
W: 0.500 0.500 0.500
Br: 0.000 0.000 0.000

Entry 12:
Entry from Alexandria via LeMat-Bulk: crystalline BaZn2PbBr8 at its relaxed geometry (PBE-GGA).

Computed properties:
Formation energy from raw total energies   -1.1568 eV per atom
DOS(E_F)   0.00 states/eV/atom
Crystal system   trigonal

Cell: 6.8556 6.8556 10.1977 Å, 90.00 90.00 120.00°
Space group P-3 (No. 147)
Asymmetric unit:
Ba: 0.0000 0.0000 0.0000
Zn: 0.3333 0.6667 0.7677
Pb: 0.0000 0.0000 0.5000
Br: 0.0042 0.6812 0.2942
Br: 0.3333 0.6667 0.0036

Entry 13:
Entry from Alexandria via LeMat-Bulk: crystalline Ba3Pd5Br12 at its relaxed geometry (PBE-GGA).

Computed properties:
Formation energy from raw total energies   -0.9505 eV per atom
DOS(E_F)   0.51 states/eV/atom
Crystal system   cubic

Cell: 17.143 17.143 17.143 Å, 90.00 90.00 90.00°
Space group Ia-3d (No. 230)
Asymmetric unit:
Ba: 0.000 0.250 0.125
Pd: 0.000 0.000 0.000
Pd: 0.000 0.250 0.375
Br: 0.030 0.051 0.645

Entry 14:
Entry from Alexandria via LeMat-Bulk: crystalline Ba12Pd5Br3 at its relaxed geometry (PBE-GGA).

Computed properties:
Formation energy from raw total energies   -0.5543 eV per atom
DOS(E_F)   0.85 states/eV/atom
Crystal system   cubic

Cell: 19.590 19.590 19.590 Å, 90.00 90.00 90.00°
Space group Ia-3d (No. 230)
Asymmetric unit:
Ba: 0.031 0.061 0.647
Pd: 0.000 0.000 0.000
Pd: 0.000 0.250 0.375
Br: 0.000 0.250 0.125

Entry 15:
Entry from Alexandria via LeMat-Bulk: crystalline Ba2PdBr6 at its relaxed geometry (PBE-GGA).

Computed properties:
Formation energy from raw total energies   -1.5550 eV per atom
Crystal system   monoclinic

Cell: 6.677 9.281 12.049 Å, 90.00 123.56 90.00°
Space group P2_1/c (No. 14)
Asymmetric unit:
Ba: 0.166 0.126 0.234
Pd: 0.000 0.000 0.500
Br: 0.128 0.157 0.947
Br: 0.270 0.640 0.957
Br: 0.331 0.015 0.738

Entry 16:
Entry from Alexandria via LeMat-Bulk: crystalline Ba4PdBr at its relaxed geometry (PBE-GGA).

Computed properties:
Formation energy from raw total energies   -0.7077 eV per atom
DOS(E_F)   0.89 states/eV/atom
Crystal system   monoclinic

Cell: 15.478 4.592 8.673 Å, 90.00 102.62 90.00°
Space group C2/m (No. 12)
Asymmetric unit:
Ba: 0.117 0.000 0.391
Ba: 0.129 0.500 0.843
Pd: 0.000 0.500 0.500
Br: 0.000 0.000 0.000